DFT (GGA-PBE) results for an optimized crystal structure of V2BiH2.

Values from the calculation:
D(E_F): 1.123 states/eV per atom
DFT total energy: -56.43 eV/cell

abc: 3.409 3.409 10.333
angles: 90.00 90.00 90.00
Space group I4/mmm (No. 139)
Inequivalent atoms, fractional coordinates:
V 0.000 0.000 0.184 x4
Bi 0.000 0.000 0.500 x2
H 0.000 0.500 0.250 x4

DFT (GGA-PBE) results for an optimized crystal structure of LaPr2I6.

Values from the calculation:
D(E_F): 0.679 states/eV per atom
Energy relative to the elements, uncorrected: -12.02 eV per formula unit
DFT total energy: -71.61 eV/cell
Offset from the most stable computed form: 0 meV per atom

abc: 20.647 4.291 9.638
angles: 90.00 111.68 90.00
Space group C2/m (No. 12)
Inequivalent atoms, fractional coordinates:
La 0.000 0.000 0.000 x2
Pr 0.174 0.500 0.353 x4
I 0.004 0.500 0.254 x4
I 0.163 0.000 0.590 x4
I 0.166 0.000 0.094 x4

DFT (GGA-PBE) results for an optimized crystal structure of TmLuN.

Values from the calculation:
D(E_F): 0.875 states/eV per atom
Energy relative to the elements, uncorrected: -3.34 eV per formula unit
DFT total energy: -20.66 eV/cell
Offset from the most stable computed form: 0 meV per atom

abc: 3.4174 3.4174 5.7736
angles: 90.00 90.00 120.00
Space group P3m1 (No. 156)
Inequivalent atoms, fractional coordinates:
Tm 0.0000 0.0000 0.0000 x1
Lu 0.6667 0.3333 0.5437 x1
N 0.3333 0.6667 0.7670 x1

DFT (GGA-PBE) results for an optimized crystal structure of YSc2V.

Values from the calculation:
Energy of formation from the pure elements: 3.9 kcal/mol of atoms
D(E_F): 1.284 states/eV per atom
DFT total energy: -27.57 eV/cell
Offset from the most stable computed form: 0 meV per atom

abc: 3.445 3.445 8.071
angles: 90.00 90.00 90.00
Space group P4/mmm (No. 123)
Inequivalent atoms, fractional coordinates:
Y 0.000 0.000 0.000 x1
Sc 0.500 0.500 0.305 x2
V 0.000 0.000 0.500 x1

DFT (GGA-PBE) results for an optimized crystal structure of ZnCdH2.

Values from the calculation:
D(E_F): 0.000 states/eV per atom
DFT total energy: -31.82 eV/cell
Offset from the most stable computed form: 0 meV per atom

abc: 5.540 5.540 7.861
angles: 90.00 90.00 90.00
Space group I4_1/amd (No. 141, origin choice 2)
Inequivalent atoms, fractional coordinates:
Zn 0.000 0.250 0.375 x4
Cd 0.000 0.250 0.875 x4
H 0.000 0.000 0.500 x8